[1]
An optimized crystal structure of GaAsF2. Source: the Alexandria database, functional PBE-GGA.

Results
The value obtained for the energy relative to the lowest polymorph listed for this composition is 8.11 kcal/mol of atoms. Its crystal system is tetragonal. For the formation energy from raw total energies, the calculation gives -0.891 eV/atom. The density of states at the Fermi level is 0.04 states/eV per atom.

a b c (Å): 6.1354 6.1354 8.3339
angles (deg): 90.00 90.00 90.00
Space group I-42d (No. 122)
Symmetry-distinct sites (fractional):
Ga 0.0000 0.0000 0.0000 (multiplicity 4)
As 0.0000 0.0000 0.5000 (multiplicity 4)
F 0.0659 0.7500 0.1250 (multiplicity 8)

[2]
An optimized crystal structure of GaAsF2. Source: the Alexandria database, functional PBE-GGA.

Results
The value obtained for the energy relative to the lowest polymorph listed for this composition is 13.83 kcal/mol of atoms. Its crystal system is cubic. For the formation energy from raw total energies, the calculation gives -0.643 eV/atom. The density of states at the Fermi level is 0.84 states/eV per atom.

a b c (Å): 6.1897 6.1897 6.1897
angles (deg): 90.00 90.00 90.00
Space group Fm-3m (No. 225)
Symmetry-distinct sites (fractional):
Ga 0.0000 0.0000 0.0000 (multiplicity 4)
As 0.0000 0.0000 0.5000 (multiplicity 4)
F 0.2500 0.2500 0.2500 (multiplicity 8)

[3]
An optimized crystal structure of Ga3AsF. Source: the Alexandria database, functional PBE-GGA.

Results
The value obtained for the energy relative to the lowest polymorph listed for this composition is 7.68 kcal/mol of atoms. Its crystal system is cubic. For the formation energy from raw total energies, the calculation gives 0.025 eV/atom. The density of states at the Fermi level is 0.49 states/eV per atom.

a b c (Å): 5.1134 5.1134 5.1134
angles (deg): 90.00 90.00 90.00
Space group Pm-3m (No. 221)
Symmetry-distinct sites (fractional):
Ga 0.0000 0.0000 0.5000 (multiplicity 3)
As 0.0000 0.0000 0.0000 (multiplicity 1)
F 0.5000 0.5000 0.5000 (multiplicity 1)

[4]
An optimized crystal structure of GaAsF2. Source: the Alexandria database, functional PBE-GGA.

Results
The value obtained for the energy relative to the lowest polymorph listed for this composition is 0.00 kcal/mol of atoms. Its crystal system is trigonal. For the formation energy from raw total energies, the calculation gives -1.242 eV/atom. The density of states at the Fermi level is 0.20 states/eV per atom.

a b c (Å): 2.9950 2.9950 23.9268
angles (deg): 90.00 90.00 120.00
Space group R-3m (No. 166, hexagonal axes)
Symmetry-distinct sites (fractional):
Ga 0.0000 0.0000 0.0000 (multiplicity 3)
As 0.0000 0.0000 0.5000 (multiplicity 3)
F 0.0000 0.0000 0.4164 (multiplicity 6)